[1]
# CrHg2Br PBE relaxed
# formation energy from raw total energies = 0.4 eV per formula unit
# VASP energy = -2.88 eV/atom
# SG = No. 71
data_CrHg2Br
_chemical_formula_sum 'Cr1 Hg2 Br1'
_symmetry_space_group_name_H-M 'P 1'
_symmetry_Int_Tables_number 1
_symmetry_space_group_name_Hall 'P 1'
_cell_length_a 7.669
_cell_length_b 7.669
_cell_length_c 7.669
_cell_angle_alpha 154.20
_cell_angle_beta 146.59
_cell_angle_gamma 42.69
loop_
_atom_site_label
_atom_site_type_symbol
_atom_site_fract_x
_atom_site_fract_y
_atom_site_fract_z
Cr1 Cr 0.000 0.000 0.000
Hg1 Hg 0.190 0.690 0.500
Hg2 Hg 0.810 0.310 0.500
Br1 Br 0.500 0.500 0.000



[2]
# La3AgBr3 PBE relaxed
# formation energy from raw total energies = -8.3 eV per formula unit
# VASP energy = -4.42 eV/atom
# SG = No. 221
data_La3AgBr3
_chemical_formula_sum 'La3 Ag1 Br3'
_symmetry_space_group_name_H-M 'P 1'
_symmetry_Int_Tables_number 1
_symmetry_space_group_name_Hall 'P 1'
_cell_length_a 6.193
_cell_length_b 6.193
_cell_length_c 6.193
_cell_angle_alpha 90.00
_cell_angle_beta 90.00
_cell_angle_gamma 90.00
loop_
_atom_site_label
_atom_site_type_symbol
_atom_site_fract_x
_atom_site_fract_y
_atom_site_fract_z
La1 La 0.000 0.000 0.500
La2 La 0.000 0.500 0.000
La3 La 0.500 0.000 0.000
Ag1 Ag 0.000 0.000 0.000
Br1 Br 0.000 0.500 0.500
Br2 Br 0.500 0.000 0.500
Br3 Br 0.500 0.500 0.000



[3]
# PrPu2Te4 PBE relaxed
# formation energy from raw total energies = -8.2 eV per formula unit
# VASP energy = -7.74 eV/atom
# SG = No. 63
data_PrPu2Te4
_chemical_formula_sum 'Pr2 Pu4 Te8'
_symmetry_space_group_name_H-M 'P 1'
_symmetry_Int_Tables_number 1
_symmetry_space_group_name_Hall 'P 1'
_cell_length_a 7.565
_cell_length_b 7.565
_cell_length_c 15.165
_cell_angle_alpha 90.00
_cell_angle_beta 90.00
_cell_angle_gamma 146.41
loop_
_atom_site_label
_atom_site_type_symbol
_atom_site_fract_x
_atom_site_fract_y
_atom_site_fract_z
Pr1 Pr 0.118 0.882 0.750
Pr2 Pr 0.882 0.118 0.250
Pu1 Pu 0.365 0.635 0.565
Pu2 Pu 0.365 0.635 0.935
Pu3 Pu 0.635 0.365 0.065
Pu4 Pu 0.635 0.365 0.435
Te1 Te 0.000 0.000 0.000
Te2 Te 0.000 0.000 0.500
Te3 Te 0.276 0.724 0.124
Te4 Te 0.276 0.724 0.376
Te5 Te 0.458 0.542 0.750
Te6 Te 0.542 0.458 0.250
Te7 Te 0.724 0.276 0.624
Te8 Te 0.724 0.276 0.876



[4]
# LaHgMo2 PBE relaxed
# VASP energy = -6.07 eV/atom
# SG = No. 47
# energy of formation = 0.6573 eV per atom
data_LaHgMo2
_chemical_formula_sum 'La1 Hg1 Mo2'
_symmetry_space_group_name_H-M 'P 1'
_symmetry_Int_Tables_number 1
_symmetry_space_group_name_Hall 'P 1'
_cell_length_a 3.526
_cell_length_b 4.853
_cell_length_c 4.891
_cell_angle_alpha 90.00
_cell_angle_beta 90.00
_cell_angle_gamma 90.00
loop_
_atom_site_label
_atom_site_type_symbol
_atom_site_fract_x
_atom_site_fract_y
_atom_site_fract_z
La1 La 0.000 0.000 0.000
Hg1 Hg 0.500 0.000 0.500
Mo1 Mo 0.000 0.500 0.500
Mo2 Mo 0.500 0.500 0.000